[1]
The following is a GGA-PBE calculation of Tb2Dy6YSc3 after structural relaxation, from Alexandria.

Lattice parameters (Å, degrees): 6.043 6.043 11.463 95.03 95.03 119.96
Element x y z (fractional)
Y  0.000  0.000  0.000
Dy  0.753  0.753  0.260
Dy  0.579  0.913  0.740
Dy  0.913  0.579  0.740
Dy  0.421  0.087  0.260
Dy  0.247  0.247  0.740
Dy  0.087  0.421  0.260
Sc  0.500  0.500  0.500
Sc  0.833  0.167  0.500
Sc  0.167  0.833  0.500
Tb  0.333  0.667  0.000
Tb  0.667  0.333  0.000

D(E_F)   17.634 states/eV per cell
Symmetry   C2/m
Total magnetic moment   0.000 μB per atom
Uncorrected energy   -5.150 eV/atom
DFT formation energy   0.53 eV/f.u.

[2]
The following is a GGA-PBE calculation of Dy8CoSn2 after structural relaxation, from Alexandria.

Lattice parameters (Å, degrees): 4.906 6.708 9.782 103.15 104.52 90.00
Element x y z (fractional)
Dy  0.015  0.783  0.030
Dy  0.410  0.528  0.819
Dy  0.590  0.472  0.181
Dy  0.985  0.217  0.970
Dy  0.783  0.678  0.566
Dy  0.217  0.322  0.434
Dy  0.359  0.995  0.719
Dy  0.641  0.005  0.281
Co  0.500  0.000  0.000
Sn  0.182  0.763  0.364
Sn  0.818  0.237  0.636

D(E_F)   9.941 states/eV per cell
Symmetry   C2/m
Total magnetic moment   0.000 μB per atom
Uncorrected energy   -5.034 eV/atom
DFT formation energy   -3.45 eV/f.u.

[3]
The following is a GGA-PBE calculation of Sr2ZrFe after structural relaxation, from Alexandria.

Lattice parameters (Å, degrees): 11.679 11.679 8.562 47.00 47.00 90.00
Element x y z (fractional)
Zr  0.750  0.250  0.500
Zr  0.000  0.000  0.000
Fe  0.250  0.750  0.500
Fe  0.500  0.500  0.000
Sr  0.458  0.125  0.250
Sr  0.875  0.708  0.750
Sr  0.292  0.625  0.250
Sr  0.375  0.542  0.750

D(E_F)   15.115 states/eV per cell
Symmetry   I-42d
Total magnetic moment   0.000 μB per atom
Uncorrected energy   -4.404 eV/atom
ΔE to the lowest computed polymorph   394 meV/atom
DFT formation energy   2.76 eV/f.u.

[4]
The following is a GGA-PBE calculation of VAg2AuS4 after structural relaxation, from Alexandria.

Lattice parameters (Å, degrees): 5.641 5.641 6.897 114.09 114.09 90.12
Element x y z (fractional)
S  0.163  0.163  0.777
S  0.615  0.615  0.777
S  0.836  0.386  0.221
S  0.386  0.836  0.221
Ag  0.750  0.250  0.500
Ag  0.250  0.750  0.500
Au  0.003  0.003  0.006
V  0.499  0.499  0.998

D(E_F)   1.535 states/eV per cell
Symmetry   Fmm2
Total magnetic moment   0.000 μB per atom
Uncorrected energy   -4.630 eV/atom
Raw formation energy   -0.304 eV per atom

[5]
The following is a GGA-PBE calculation of Pm3Nd3YSe8 after structural relaxation, from Alexandria.

Lattice parameters (Å, degrees): 8.394 8.395 8.382 120.04 90.00 120.00
Element x y z (fractional)
Se  0.751  0.502  0.753
Se  0.753  0.506  0.251
Se  0.249  0.498  0.247
Se  0.753  0.998  0.251
Se  0.755  0.002  0.749
Se  0.247  0.002  0.749
Se  0.245  0.998  0.251
Se  0.247  0.494  0.749
Nd  0.000  0.500  0.500
Nd  0.500  0.500  0.500
Nd  0.500  0.000  0.500
Pm  0.500  0.500  0.000
Pm  0.000  0.500  0.000
Pm  0.000  0.000  0.000
Y  0.000  0.000  0.500

D(E_F)   7.030 states/eV per cell
Symmetry   R-3m
Total magnetic moment   0.000 μB per atom
Uncorrected energy   -6.072 eV/atom
Raw formation energy   -1.879 eV per atom

[6]
The following is a GGA-PBE calculation of AcHo4Tm7 after structural relaxation, from Alexandria.

Lattice parameters (Å, degrees): 5.990 11.309 6.780 82.97 63.79 74.64
Element x y z (fractional)
Tm  0.785  0.917  0.514
Tm  0.215  0.083  0.486
Tm  0.500  0.000  0.000
Tm  0.357  0.520  0.767
Tm  0.643  0.480  0.233
Tm  0.959  0.367  0.715
Tm  0.041  0.633  0.285
Ho  0.725  0.692  0.859
Ho  0.381  0.775  0.462
Ho  0.619  0.225  0.538
Ho  0.275  0.308  0.141
Ac  0.000  0.000  0.000

D(E_F)   21.853 states/eV per cell
Symmetry   C2/m
Total magnetic moment   0.000 μB per atom
Uncorrected energy   -4.151 eV/atom
ΔE to the lowest computed polymorph   305 meV/atom
DFT formation energy   3.90 eV/f.u.

[7]
The following is a GGA-PBE calculation of MnCoAs2 after structural relaxation, from Alexandria.

Lattice parameters (Å, degrees): 7.467 7.467 7.467 22.80 22.80 22.80
Site moments in Bohr magnetons follow the coordinates.
Element x y z (fractional)
As  0.001  0.001  0.001  -0.05
As  0.499  0.499  0.499  -0.05
Mn  0.750  0.750  0.750  1.54
Co  0.250  0.250  0.250  -1.03

D(E_F)   4.022 states/eV per cell
Symmetry   R-3m
Total magnetic moment   0.112 μB per atom
Uncorrected energy   -6.319 eV/atom
ΔE to the lowest computed polymorph   184 meV/atom
DFT formation energy   0.30 eV/f.u.

[8]
The following is a GGA-PBE calculation of Pr2NdSmSb4 after structural relaxation, from Alexandria.

Lattice parameters (Å, degrees): 4.530 7.841 7.842 70.53 90.00 90.00
Element x y z (fractional)
Pr  0.000  0.000  0.000
Pr  0.500  0.000  0.500
Sm  0.000  0.500  0.500
Nd  0.500  0.500  0.000
Sb  0.000  0.253  0.250
Sb  0.500  0.254  0.747
Sb  0.000  0.747  0.750
Sb  0.500  0.746  0.253

D(E_F)   0.989 states/eV per cell
Symmetry   P2/m
Total magnetic moment   0.000 μB per atom
Uncorrected energy   -5.629 eV/atom
Raw formation energy   -1.187 eV per atom

[9]
The following is a GGA-PBE calculation of Ni3PIr after structural relaxation, from Alexandria.

Lattice parameters (Å, degrees): 4.508 4.508 4.508 90.00 90.00 90.00
Site moments in Bohr magnetons follow the coordinates.
Element x y z (fractional)
P  0.500  0.500  0.500  0.00
Ni  0.500  0.000  0.000  0.25
Ni  0.000  0.000  0.500  0.91
Ni  0.000  0.500  0.000  0.53
Ir  0.000  0.000  0.000  0.58

D(E_F)   7.660 states/eV per cell
Symmetry   Pm-3m
Total magnetic moment   0.459 μB per atom
Uncorrected energy   -4.891 eV/atom
ΔE to the lowest computed polymorph   1014 meV/atom
DFT formation energy   7.16 eV/f.u.

[10]
The following is a GGA-PBE calculation of PuPb2 after structural relaxation, from Alexandria.

Lattice parameters (Å, degrees): 3.864 3.864 6.484 107.30 107.30 90.02
Site moments in Bohr magnetons follow the coordinates.
Element x y z (fractional)
Pb  0.825  0.825  0.649  0.03
Pb  0.175  0.175  0.351  0.03
Pu  0.500  0.500  0.000  5.68

D(E_F)   8.823 states/eV per cell
Symmetry   I4/mmm
Total magnetic moment   2.139 μB per atom
Uncorrected energy   -7.227 eV/atom
DFT formation energy   0.07 eV/f.u.

[11]
The following is a GGA-PBE calculation of TbEr15Tm4 after structural relaxation, from Alexandria.

Lattice parameters (Å, degrees): 4.945 4.945 24.728 90.00 90.00 90.00
Element x y z (fractional)
Er  0.500  0.500  0.400
Er  0.500  0.000  0.101
Er  0.000  0.500  0.101
Er  0.500  0.500  0.799
Er  0.500  0.500  0.201
Er  0.500  0.000  0.899
Er  0.000  0.500  0.300
Er  0.500  0.500  0.600
Er  0.500  0.000  0.700
Er  0.000  0.500  0.899
Er  0.500  0.000  0.500
Er  0.500  0.000  0.300
Er  0.000  0.500  0.500
Er  0.500  0.500  0.000
Er  0.000  0.500  0.700
Tm  0.000  0.000  0.600
Tm  0.000  0.000  0.400
Tm  0.000  0.000  0.201
Tm  0.000  0.000  0.799
Tb  0.000  0.000  0.000

D(E_F)   26.173 states/eV per cell
Symmetry   P4/mmm
Total magnetic moment   0.000 μB per atom
Uncorrected energy   -4.524 eV/atom
DFT formation energy   0.47 eV/f.u.

[12]
The following is a GGA-PBE calculation of CdMoPtAu2 after structural relaxation, from Alexandria.

Lattice parameters (Å, degrees): 5.070 4.846 5.070 90.00 90.00 90.00
Element x y z (fractional)
Au  0.500  0.000  0.000
Au  0.000  0.000  0.500
Mo  0.000  0.000  0.000
Pt  0.000  0.500  0.000
Cd  0.500  0.500  0.500

D(E_F)   5.194 states/eV per cell
Symmetry   P4/mmm
Total magnetic moment   0.000 μB per atom
Uncorrected energy   -3.882 eV/atom
DFT formation energy   4.93 eV/f.u.

[13]
The following is a GGA-PBE calculation of CoNiHg2 after structural relaxation, from Alexandria.

Lattice parameters (Å, degrees): 4.531 4.531 4.531 60.00 60.00 60.00
Site moments in Bohr magnetons follow the coordinates.
Element x y z (fractional)
Co  0.500  0.500  0.500  1.68
Hg  0.750  0.750  0.750  -0.02
Hg  0.000  0.000  0.000  0.00
Ni  0.250  0.250  0.250  0.38

D(E_F)   8.272 states/eV per cell
Symmetry   F-43m
Total magnetic moment   0.498 μB per atom
Uncorrected energy   -2.824 eV/atom
ΔE to the lowest computed polymorph   242 meV/atom
DFT formation energy   2.20 eV/f.u.

[14]
The following is a GGA-PBE calculation of TaZn2Te after structural relaxation, from Alexandria.

Lattice parameters (Å, degrees): 5.121 5.121 5.071 83.39 83.39 35.04
Element x y z (fractional)
Te  0.233  0.233  0.288
Zn  0.010  0.010  0.960
Zn  0.763  0.763  0.764
Ta  0.495  0.495  0.488

D(E_F)   2.469 states/eV per cell
Symmetry   Cm
Total magnetic moment   0.000 μB per atom
Uncorrected energy   -4.131 eV/atom
Raw formation energy   0.255 eV per atom

[15]
The following is a GGA-PBE calculation of Sr5SmSb4 after structural relaxation, from Alexandria.

Lattice parameters (Å, degrees): 4.867 8.776 10.812 113.95 103.01 90.00
Site moments in Bohr magnetons follow the coordinates.
Element x y z (fractional)
Sb  0.000  0.242  0.000  -0.01
Sb  0.307  0.807  0.614  0.00
Sb  0.693  0.193  0.386  0.00
Sb  0.000  0.758  0.000  -0.01
Sr  0.167  0.411  0.334  0.02
Sr  0.167  0.923  0.334  0.02
Sr  0.833  0.077  0.666  0.02
Sr  0.833  0.589  0.666  0.02
Sr  0.500  0.500  0.000  0.04
Sm  0.500  0.000  0.000  0.06

D(E_F)   5.116 states/eV per cell
Symmetry   Immm
Total magnetic moment   0.102 μB per atom
Uncorrected energy   -3.853 eV/atom
Raw formation energy   -0.891 eV per atom

[16]
The following is a GGA-PBE calculation of KReRu after structural relaxation, from Alexandria.

Lattice parameters (Å, degrees): 4.414 4.414 4.414 60.00 60.00 60.00
Element x y z (fractional)
K  0.500  0.500  0.500
Re  0.750  0.750  0.750
Ru  0.000  0.000  0.000

D(E_F)   2.914 states/eV per cell
Symmetry   F-43m
Total magnetic moment   0.000 μB per atom
Uncorrected energy   -5.730 eV/atom
ΔE to the lowest computed polymorph   1018 meV/atom
DFT formation energy   5.63 eV/f.u.

[17]
The following is a GGA-PBE calculation of TiCoCu after structural relaxation, from Alexandria.

Lattice parameters (Å, degrees): 3.043 3.970 6.505 90.00 103.52 90.00
Element x y z (fractional)
Co  0.572  0.750  0.144
Co  0.428  0.250  0.856
Ti  0.912  0.750  0.824
Ti  0.088  0.250  0.176
Cu  0.761  0.250  0.521
Cu  0.239  0.750  0.479

D(E_F)   2.472 states/eV per cell
Symmetry   Cmcm
Total magnetic moment   0.000 μB per atom
Uncorrected energy   -6.629 eV/atom
ΔE to the lowest computed polymorph   0 meV/atom
DFT formation energy   -0.79 eV/f.u.

[18]
The following is a GGA-PBE calculation of Sr6CdIn3 after structural relaxation, from Alexandria.

Lattice parameters (Å, degrees): 5.842 10.127 13.195 110.76 90.00 90.00
Element x y z (fractional)
Sr  0.750  0.337  0.333
Sr  0.750  0.751  0.498
Sr  0.250  0.477  0.084
Sr  0.750  0.870  0.852
Sr  0.250  0.118  0.863
Sr  0.750  0.163  0.682
Sr  0.250  0.249  0.502
Sr  0.250  0.130  0.148
Sr  0.250  0.837  0.318
Sr  0.750  0.882  0.137
Sr  0.750  0.523  0.916
Sr  0.250  0.663  0.667
In  0.250  0.528  0.371
In  0.750  0.589  0.218
In  0.750  0.472  0.629
In  0.250  0.763  0.971
In  0.250  0.411  0.782
In  0.750  0.237  0.029
Cd  0.250  0.955  0.592
Cd  0.750  0.045  0.408

D(E_F)   10.338 states/eV per cell
Symmetry   P2_1/m
Total magnetic moment   0.000 μB per atom
Uncorrected energy   -2.244 eV/atom
DFT formation energy   -3.22 eV/f.u.

[19]
The following is a GGA-PBE calculation of Cd3Tc after structural relaxation, from Alexandria.

Lattice parameters (Å, degrees): 5.769 5.769 5.769 150.82 125.29 63.20
Element x y z (fractional)
Cd  0.997  0.991  0.006
Cd  0.086  0.750  0.336
Cd  0.515  0.509  0.006
Tc  0.569  0.250  0.319

D(E_F)   2.555 states/eV per cell
Symmetry   Imm2
Total magnetic moment   0.000 μB per atom
Uncorrected energy   -2.962 eV/atom
ΔE to the lowest computed polymorph   62 meV/atom
DFT formation energy   1.26 eV/f.u.

[20]
The following is a GGA-PBE calculation of TaAg2SbO6 after structural relaxation, from Alexandria.

Lattice parameters (Å, degrees): 5.635 5.635 7.968 90.00 90.00 90.00
Element x y z (fractional)
Ag  0.500  0.750  0.250
Ag  0.000  0.250  0.250
Ag  0.500  0.750  0.750
Ag  0.000  0.250  0.750
O  0.750  0.000  0.500
O  0.750  0.000  0.000
O  0.000  0.750  0.250
O  0.250  0.000  0.000
O  0.500  0.250  0.750
O  0.250  0.000  0.500
O  0.250  0.501  0.000
O  0.000  0.750  0.750
O  0.500  0.250  0.250
O  0.250  0.499  0.500
O  0.750  0.499  0.500
O  0.750  0.501  0.000
Ta  0.500  0.250  0.000
Ta  0.000  0.750  0.500
Sb  0.000  0.750  0.000
Sb  0.500  0.250  0.500

D(E_F)   0.000 states/eV per cell
Symmetry   Fm-3m
Total magnetic moment   0.000 μB per atom
Uncorrected energy   -6.567 eV/atom
Raw formation energy   -1.424 eV per atom